[1]
The following is a DFT calculation (PBE) of a relaxed structure of Na3CrW.

Summary:
DFT formation energy, eV per atom: 2.23
E above lowest polymorph, kJ per mole of atoms: 28.3
M_tot, μB per formula unit: 6.2
SG: Pm-3m (221)

a b c (Å): 5.376 5.376 5.376
angles (deg): 90.00 90.00 90.00
Last column: magnetic moment on the atom in μB.
Fractional coordinates of all 5 atoms:
Cr 0.000 0.000 0.000  4.30
W 0.500 0.500 0.500  0.70
Na 0.000 0.500 0.000  0.02
Na 0.000 0.000 0.500  0.01
Na 0.500 0.000 0.000  0.03

[2]
The following is a DFT calculation (PBE) of a relaxed structure of Nd4PdRuBr2.

Summary:
M_tot, μB per formula unit: 0.0
E_form (uncorrected), eV per atom: -0.93
SG: P2/m (10)

a b c (Å): 4.149 7.171 8.208
angles (deg): 106.80 90.00 90.00
Fractional coordinates of all 8 atoms:
Nd 0.500 0.245 0.197
Nd 0.500 0.755 0.803
Nd 0.000 0.278 0.801
Nd 0.000 0.722 0.199
Pd 0.000 0.000 0.000
Ru 0.500 0.500 0.000
Br 0.500 0.000 0.500
Br 0.000 0.500 0.500

[3]
The following is a DFT calculation (PBE) of a relaxed structure of TmAsPt.

Summary:
DFT formation energy, eV per atom: -0.74
M_tot, μB per formula unit: 0.0
SG: I4mm (107)

a b c (Å): 3.480 3.480 5.488
angles (deg): 108.48 108.48 90.00
Fractional coordinates of all 3 atoms:
As 0.602 0.602 0.204
Tm 0.293 0.293 0.585
Pt 0.955 0.955 0.911

[4]
The following is a DFT calculation (PBE) of a relaxed structure of K2MoSe.

Summary:
E above lowest polymorph, kJ per mole of atoms: 0.0
M_tot, μB per formula unit: 0.7
E_form (uncorrected), eV per atom: 0.23
SG: P4mm (99)

a b c (Å): 3.435 3.435 10.371
angles (deg): 90.00 90.00 90.00
Last column: magnetic moment on the atom in μB.
Fractional coordinates of all 4 atoms:
K 0.000 0.000 0.915  0.00
K 0.500 0.500 0.327  0.00
Mo 0.000 0.000 0.583  0.60
Se 0.500 0.500 0.674  -0.01

[5]
The following is a DFT calculation (PBE) of a relaxed structure of CaTbSm.

Summary:
DFT formation energy, eV per atom: 0.35
E above lowest polymorph, kJ per mole of atoms: 30.6
M_tot, μB per formula unit: 0.1
SG: P4/nmm (129)

a b c (Å): 4.863 4.863 9.111
angles (deg): 90.00 90.00 90.00
Fractional coordinates of all 6 atoms:
Ca 0.000 0.000 0.000
Ca 0.500 0.500 0.000
Tb 0.000 0.500 0.682
Tb 0.500 0.000 0.318
Sm 0.000 0.500 0.317
Sm 0.500 0.000 0.683

[6]
The following is a DFT calculation (PBE) of a relaxed structure of Ba3BeTe.

Summary:
E above lowest polymorph, kJ per mole of atoms: 0.0
M_tot, μB per formula unit: 0.0
E_form (uncorrected), eV per atom: -0.16
SG: Pm-3m (221)

a b c (Å): 6.094 6.094 6.094
angles (deg): 90.00 90.00 90.00
Fractional coordinates of all 5 atoms:
Be 0.000 0.000 0.000
Te 0.500 0.500 0.500
Ba 0.000 0.500 0.000
Ba 0.000 0.000 0.500
Ba 0.500 0.000 0.000